1.
VASP calculation (PBE) on a relaxed structure of NdCuSn2Pd.

Structure (POSCAR):
```
NdCuSn2Pd
1.0
4.511 0.000 0.000
0.000 4.444 0.000
-0.247 0.000 10.988
Nd Cu Sn Pd
2 2 4 2
Direct
0.234 0.250 0.237
0.766 0.750 0.763
0.194 0.750 0.000
0.806 0.250 0.000
0.252 0.750 0.498
0.294 0.250 0.878
0.706 0.750 0.122
0.748 0.250 0.502
0.254 0.250 0.639
0.746 0.750 0.361
```

Values from the calculation:
The density comes out at 8.3 g/cm³. As for the space-group type: P2_1/m (11). The calculated total energy is -49.35 eV per cell.


2.
VASP calculation (PBE) on a relaxed structure of NdCuSn2Pd.

Structure (POSCAR):
```
NdCuSn2Pd
1.0
4.471 0.000 0.000
0.000 4.471 0.000
0.000 0.000 11.045
Nd Cu Sn Pd
2 2 4 2
Direct
0.250 0.250 0.236
0.750 0.750 0.764
0.250 0.750 0.000
0.750 0.250 0.000
0.250 0.250 0.875
0.250 0.750 0.500
0.750 0.250 0.500
0.750 0.750 0.125
0.250 0.250 0.638
0.750 0.750 0.362
```

Values from the calculation:
The density comes out at 8.3 g/cm³. As for the space-group type: P4/nmm (129). The calculated total energy is -49.34 eV per cell.


3.
VASP calculation (PBE) on a relaxed structure of NdZn2Cu2Pd.

Structure (POSCAR):
```
NdZn2Cu2Pd
1.0
2.594 -4.700 0.000
2.594 4.700 0.000
0.000 0.000 4.163
Nd Zn Cu Pd
1 2 2 1
Direct
0.000 0.000 0.000
0.000 0.500 0.500
0.500 0.000 0.500
0.322 0.678 0.000
0.678 0.322 0.000
0.500 0.500 0.500
```

Values from the calculation:
The density comes out at 8.3 g/cm³. As for the space-group type: Cmmm (65). The calculated total energy is -22.30 eV per cell.


4.
VASP calculation (PBE) on a relaxed structure of PrNdCu2.

Structure (POSCAR):
```
PrNdCu2
1.0
4.582 0.000 0.000
0.000 7.345 0.000
0.000 0.000 5.589
Pr Nd Cu
2 2 4
Direct
0.000 0.072 0.000
0.500 0.928 0.500
0.000 0.571 0.247
0.500 0.429 0.747
0.000 0.219 0.494
0.000 0.713 0.754
0.500 0.287 0.254
0.500 0.781 0.994
```

Values from the calculation:
The density comes out at 7.3 g/cm³. Its energy above the lowest structure with this stoichiometry is 0.000 eV/atom. As for the space-group type: Pmn2_1 (31). The calculated total energy is -35.36 eV per cell.


5.
VASP calculation (PBE) on a relaxed structure of PrNdCu2.

Structure (POSCAR):
```
PrNdCu2
1.0
5.576 0.000 0.000
0.000 4.583 0.000
-0.052 0.000 7.338
Pr Nd Cu
2 2 4
Direct
0.127 0.250 0.179
0.873 0.750 0.821
0.373 0.250 0.677
0.627 0.750 0.323
0.120 0.750 0.467
0.384 0.750 0.965
0.616 0.250 0.035
0.880 0.250 0.533
```

Values from the calculation:
The density comes out at 7.3 g/cm³. Its energy above the lowest structure with this stoichiometry is 0.001 eV/atom. As for the space-group type: P2_1/m (11). The calculated total energy is -35.35 eV per cell.


6.
VASP calculation (PBE) on a relaxed structure of PrNdCu2.

Structure (POSCAR):
```
PrNdCu2
1.0
4.574 0.000 0.000
0.000 1.952 5.372
0.000 -1.952 5.372
Pr Nd Cu
1 1 2
Direct
0.000 0.000 0.000
0.500 0.283 0.283
0.000 0.710 0.710
0.500 0.575 0.575
```

Values from the calculation:
The density comes out at 7.1 g/cm³. Its energy above the lowest structure with this stoichiometry is 0.007 eV/atom. As for the space-group type: Amm2 (38). The calculated total energy is -17.65 eV per cell.